{"formula": "GdBi2Pt", "functional": "PBE", "state": "optimized geometry", "n_ef_per_ev_fu": 5.36, "e_form_ev_per_atom": -0.06, "cell": [[-3.093, 0.474, 1.984], [-0.132, -1.135, 3.525], [2.248, 8.796, 4.864]], "species": ["Bi", "Bi", "Gd", "Pt"], "fractional_positions": [[0.106, 0.106, 0.681], [0.894, 0.894, 0.319], [0.000, 0.000, 0.000], [0.500, 0.500, 0.500]]}



{"formula": "Gd2BiPt", "functional": "PBE", "state": "optimized geometry", "n_ef_per_ev_fu": 3.65, "e_above_lowest_polymorph_mev_per_atom": 13, "e_form_ev_per_atom": -0.90, "cell": [[3.611, 0.000, 0.000], [0.000, 3.611, 0.000], [0.000, 0.000, 7.926]], "species": ["Gd", "Gd", "Bi", "Pt"], "fractional_positions": [[0.000, 0.000, 0.213], [0.000, 0.000, 0.787], [0.500, 0.500, 0.500], [0.500, 0.500, 0.000]]}



{"formula": "GdBiPt2", "functional": "PBE", "state": "optimized geometry", "n_ef_per_ev_fu": 3.15, "e_form_ev_per_atom": -0.70, "cell": [[3.690, 0.000, 0.000], [0.000, 3.690, 0.000], [0.000, 0.000, 6.430]], "species": ["Pt", "Pt", "Bi", "Gd"], "fractional_positions": [[0.000, 0.000, 0.229], [0.000, 0.000, 0.771], [0.500, 0.500, 0.500], [0.500, 0.500, 0.000]]}



{"formula": "GdPu2Bi", "functional": "PBE", "state": "optimized geometry", "n_ef_per_ev_fu": 16.90, "e_form_ev_per_atom": 0.21, "cell": [[-1.640, -2.906, -0.728], [1.099, -1.989, -2.550], [7.094, -7.711, 6.784]], "species": ["Pu", "Pu", "Bi", "Gd"], "fractional_positions": [[0.912, 0.912, 0.263], [0.088, 0.088, 0.737], [0.000, 0.000, 0.000], [0.500, 0.500, 0.500]]}



{"formula": "GdPuBi", "functional": "PBE", "state": "optimized geometry", "n_ef_per_ev_fu": 10.45, "e_above_lowest_polymorph_mev_per_atom": 0, "e_form_ev_per_atom": -0.33, "cell": [[-1.592, -3.822, -0.069], [0.921, -0.311, -4.025], [4.971, 0.114, 3.258]], "species": ["Bi", "Gd", "Pu"], "fractional_positions": [[0.280, 0.280, 0.561], [0.628, 0.628, 0.256], [0.941, 0.941, 0.883]]}



{"formula": "GdPuBi", "functional": "PBE", "state": "optimized geometry", "n_ef_per_ev_fu": 8.27, "e_above_lowest_polymorph_mev_per_atom": 267, "e_form_ev_per_atom": -0.06, "cell": [[3.350, 0.000, 0.000], [0.000, 5.460, 0.000], [0.000, -2.730, 4.729]], "species": ["Bi", "Pu", "Gd"], "fractional_positions": [[0.000, 0.000, 0.000], [0.500, 0.667, 0.333], [0.500, 0.333, 0.667]]}



{"formula": "GdPuSnBi", "functional": "PBE", "state": "optimized geometry", "n_ef_per_ev_fu": 12.47, "e_form_ev_per_atom": -0.44, "cell": [[5.443, 0.000, 0.000], [2.722, 4.714, 0.000], [2.722, 1.571, 4.445]], "species": ["Sn", "Pu", "Gd", "Bi"], "fractional_positions": [[0.500, 0.500, 0.500], [0.750, 0.750, 0.750], [0.250, 0.250, 0.250], [0.000, 0.000, 0.000]]}



{"formula": "Gd3BiRh", "functional": "PBE", "state": "optimized geometry", "n_ef_per_ev_fu": 6.66, "e_form_ev_per_atom": -0.54, "cell": [[-4.342, -2.429, -2.048], [-0.836, -2.471, 4.705], [-3.065, 4.115, 1.617]], "species": ["Rh", "Gd", "Gd", "Gd", "Bi"], "fractional_positions": [[0.000, 0.000, 0.000], [0.000, 0.500, 0.000], [0.500, 0.000, 0.000], [0.000, 0.000, 0.500], [0.500, 0.500, 0.500]]}



{"formula": "GdBi2Rh", "functional": "PBE", "state": "optimized geometry", "n_ef_per_ev_fu": 3.81, "e_form_ev_per_atom": -0.04, "cell": [[-1.148, 1.705, -2.894], [-3.412, -0.220, -0.953], [-3.634, 8.705, 4.392]], "species": ["Bi", "Bi", "Rh", "Gd"], "fractional_positions": [[0.895, 0.895, 0.314], [0.105, 0.105, 0.686], [0.500, 0.500, 0.500], [0.000, 0.000, 0.000]]}



{"formula": "Gd2BiS", "functional": "PBE", "state": "optimized geometry", "n_ef_per_ev_fu": 2.18, "e_form_raw_ev_per_atom": -1.415, "cell": [[4.206, 0.000, 0.000], [2.103, 3.642, 0.000], [2.103, 1.214, 7.040]], "species": ["Gd", "Gd", "Bi", "S"], "fractional_positions": [[0.739, 0.739, 0.784], [0.261, 0.261, 0.216], [0.500, 0.500, 0.500], [0.000, 0.000, 0.000]]}



{"formula": "Gd3Bi5S12", "functional": "PBE", "state": "optimized geometry", "e_form_raw_ev_per_atom": -0.826, "cell": [[14.245, 0.000, 0.000], [-4.748, 13.430, 0.000], [-4.748, -6.715, 11.631]], "species": ["S", "S", "S", "S", "S", "S", "S", "S", "S", "S", "S", "S", "S", "S", "S", "S", "S", "S", "S", "S", "S", "S", "S", "S", "S", "S", "S", "S", "S", "S", "S", "S", "S", "S", "S", "S", "S", "S", "S", "S", "S", "S", "S", "S", "S", "S", "S", "S", "Bi", "Bi", "Bi", "Bi", "Bi", "Bi", "Bi", "Bi", "Bi", "Bi", "Bi", "Bi", "Bi", "Bi", "Bi", "Bi", "Bi", "Bi", "Bi", "Bi", "Gd", "Gd", "Gd", "Gd", "Gd", "Gd", "Gd", "Gd", "Gd", "Gd", "Gd", "Gd"], "fractional_positions": [[0.275, 0.860, 0.944], [0.360, 0.944, 0.775], [0.725, 0.586, 0.169], [0.056, 0.640, 0.725], [0.084, 0.914, 0.140], [0.331, 0.775, 0.414], [0.140, 0.414, 0.084], [0.056, 0.416, 0.831], [0.860, 0.586, 0.916], [0.775, 0.331, 0.914], [0.169, 0.084, 0.944], [0.916, 0.831, 0.556], [0.944, 0.360, 0.275], [0.831, 0.916, 0.056], [0.640, 0.584, 0.914], [0.944, 0.584, 0.169], [0.414, 0.140, 0.584], [0.275, 0.414, 0.831], [0.225, 0.669, 0.086], [0.860, 0.275, 0.444], [0.414, 0.275, 0.331], [0.444, 0.775, 0.860], [0.140, 0.725, 0.556], [0.914, 0.084, 0.640], [0.584, 0.944, 0.669], [0.416, 0.056, 0.331], [0.360, 0.416, 0.086], [0.584, 0.640, 0.414], [0.556, 0.225, 0.140], [0.586, 0.725, 0.669], [0.725, 0.140, 0.056], [0.669, 0.444, 0.584], [0.775, 0.444, 0.360], [0.444, 0.669, 0.084], [0.640, 0.056, 0.225], [0.669, 0.225, 0.586], [0.556, 0.331, 0.916], [0.416, 0.360, 0.586], [0.331, 0.556, 0.416], [0.086, 0.916, 0.360], [0.169, 0.086, 0.725], [0.586, 0.860, 0.416], [0.086, 0.169, 0.225], [0.225, 0.556, 0.640], [0.914, 0.831, 0.775], [0.084, 0.169, 0.444], [0.916, 0.086, 0.860], [0.831, 0.914, 0.275], [0.500, 0.500, 0.500], [0.000, 0.000, 0.500], [0.500, 0.000, 0.000], [0.500, 0.000, 0.500], [0.875, 0.625, 0.750], [0.625, 0.875, 0.250], [0.500, 0.500, 0.000], [0.000, 0.500, 0.000], [0.375, 0.125, 0.750], [0.250, 0.875, 0.125], [0.125, 0.750, 0.375], [0.125, 0.375, 0.250], [0.875, 0.250, 0.625], [0.250, 0.375, 0.625], [0.375, 0.250, 0.125], [0.750, 0.625, 0.375], [0.000, 0.500, 0.500], [0.750, 0.125, 0.875], [0.625, 0.750, 0.875], [0.000, 0.000, 0.000], [0.375, 0.625, 0.250], [0.125, 0.875, 0.750], [0.125, 0.250, 0.875], [0.375, 0.750, 0.625], [0.875, 0.125, 0.250], [0.625, 0.375, 0.750], [0.250, 0.625, 0.875], [0.750, 0.375, 0.125], [0.625, 0.250, 0.375], [0.875, 0.750, 0.125], [0.750, 0.875, 0.625], [0.250, 0.125, 0.375]]}



{"formula": "GdBiS", "functional": "PBE", "state": "optimized geometry", "n_ef_per_ev_fu": 1.80, "e_form_raw_ev_per_atom": -1.113, "cell": [[-0.577, 2.730, -2.320], [-2.467, 1.401, 2.263], [5.940, 1.229, 2.806]], "species": ["S", "Gd", "Bi"], "fractional_positions": [[0.287, 0.287, 0.574], [0.708, 0.708, 0.416], [0.005, 0.005, 0.010]]}



{"formula": "GdBiSb2", "functional": "PBE", "state": "optimized geometry", "n_ef_per_ev_fu": 1.89, "e_above_lowest_polymorph_mev_per_atom": 42, "e_form_raw_ev_per_atom": -0.421, "cell": [[4.170, 0.000, 0.000], [0.000, 4.170, 0.000], [0.000, 0.000, 6.588]], "species": ["Bi", "Sb", "Sb", "Gd"], "fractional_positions": [[0.500, 0.500, 0.000], [0.000, 0.000, 0.733], [0.000, 0.000, 0.267], [0.500, 0.500, 0.500]]}



{"formula": "GdBiSb2", "functional": "PBE", "state": "optimized geometry", "n_ef_per_ev_fu": 3.42, "e_above_lowest_polymorph_mev_per_atom": 251, "e_form_raw_ev_per_atom": -0.211, "cell": [[3.521, 0.000, 0.000], [1.761, 3.050, 0.000], [1.761, 1.017, 11.355]], "species": ["Bi", "Sb", "Sb", "Gd"], "fractional_positions": [[0.000, 0.000, 0.000], [0.094, 0.094, 0.719], [0.906, 0.906, 0.281], [0.500, 0.500, 0.500]]}



{"formula": "GdBiSb2", "functional": "PBE", "state": "optimized geometry", "n_ef_per_ev_fu": 1.58, "e_above_lowest_polymorph_mev_per_atom": 0, "e_form_raw_ev_per_atom": -0.463, "cell": [[4.203, 0.000, 0.000], [0.000, 5.214, 0.000], [0.000, 0.000, 5.214]], "species": ["Sb", "Sb", "Gd", "Bi"], "fractional_positions": [[0.000, 0.000, 0.500], [0.000, 0.500, 0.000], [0.500, 0.000, 0.000], [0.500, 0.500, 0.500]]}



{"formula": "GdThBiSb", "functional": "PBE", "state": "optimized geometry", "n_ef_per_ev_fu": 3.89, "e_form_raw_ev_per_atom": -0.707, "cell": [[5.503, 0.000, 0.000], [2.751, 4.765, 0.000], [2.751, 1.588, 4.493]], "species": ["Sb", "Th", "Gd", "Bi"], "fractional_positions": [[0.500, 0.500, 0.500], [0.250, 0.250, 0.250], [0.750, 0.750, 0.750], [0.000, 0.000, 0.000]]}



{"formula": "GdSc2Bi", "functional": "PBE", "state": "optimized geometry", "n_ef_per_ev_fu": 6.30, "e_above_lowest_polymorph_mev_per_atom": 444, "e_form_ev_per_atom": 0.12, "cell": [[3.417, 0.000, 0.000], [1.708, 2.959, 0.000], [1.708, 0.986, 11.167]], "species": ["Gd", "Sc", "Sc", "Bi"], "fractional_positions": [[0.000, 0.000, 0.000], [0.907, 0.907, 0.278], [0.093, 0.093, 0.722], [0.500, 0.500, 0.500]]}



{"formula": "GdSc2Bi", "functional": "PBE", "state": "optimized geometry", "n_ef_per_ev_fu": 5.95, "e_above_lowest_polymorph_mev_per_atom": 0, "e_form_ev_per_atom": -0.33, "cell": [[4.578, 0.000, 0.000], [0.000, 4.746, 0.000], [0.000, 0.000, 4.746]], "species": ["Bi", "Gd", "Sc", "Sc"], "fractional_positions": [[0.500, 0.500, 0.500], [0.500, 0.000, 0.000], [0.000, 0.000, 0.500], [0.000, 0.500, 0.000]]}



{"formula": "GdScBi", "functional": "PBE", "state": "optimized geometry", "n_ef_per_ev_fu": 2.39, "e_above_lowest_polymorph_mev_per_atom": 0, "e_form_ev_per_atom": -0.45, "cell": [[3.949, 0.000, 0.000], [0.000, 3.949, 0.000], [-1.974, -1.974, 5.316]], "species": ["Sc", "Gd", "Bi"], "fractional_positions": [[0.933, 0.933, 0.867], [0.620, 0.620, 0.240], [0.297, 0.297, 0.593]]}



{"formula": "GdSc2Bi", "functional": "PBE", "state": "optimized geometry", "n_ef_per_ev_fu": 5.00, "e_above_lowest_polymorph_mev_per_atom": 40, "e_form_ev_per_atom": -0.29, "cell": [[3.932, 0.000, 0.000], [0.000, 3.932, 0.000], [0.000, 0.000, 6.873]], "species": ["Sc", "Sc", "Gd", "Bi"], "fractional_positions": [[0.000, 0.000, 0.271], [0.000, 0.000, 0.729], [0.500, 0.500, 0.000], [0.500, 0.500, 0.500]]}